# Tl2SnO2

A geometry-optimized Tl2SnO2 structure (PBE, the Alexandria database).

Lattice parameters (Å, degrees): 5.0945 5.0945 8.8648 90.00 90.00 90.00
Last column: nearest neighbours and their distance in Å.
Space group I4/mmm (No. 139)
Inequivalent atoms, fractional coordinates:
Tl  0.0000  0.5000  0.2500 x4  4 O 2.55
Sn  0.0000  0.0000  0.0000 x2  2 O 2.37
O  0.0000  0.0000  0.2675 x4  1 Sn 2.37, 4 Tl 2.55

Magnetic moment: 0.00 μB per formula unit
Total energy: -3.883 eV/atom
Formation energy (no corrections): -152 meV per atom
Density: 8.08 Mg/m³
Fermi-level density of states: 10.76 states/eV/cell